Entry 1:
A relaxed Os3Rh crystal. Source: Alexandria via LeMat-Bulk, functional PBE-GGA.

Properties
**Formation enthalpy at 0 K**: 0.03 eV/atom
**Uncorrected energy**: -40.940 eV/f.u.
**Total magnetization**: 0.00 μB/f.u.
**Fermi-level density of states**: 0.93 states/eV/atom
**Symmetry**: P-6m2, No. 187
**Crystal system**: hexagonal

a b c (Å): 2.748 2.748 8.748
angles (deg): 90.00 90.00 120.00
Fractional coordinates of all 4 atoms:
Os: 0.000 0.000 0.000
Os: 0.667 0.333 0.245
Os: 0.667 0.333 0.755
Rh: 0.000 0.000 0.500

---

Entry 2:
A relaxed In4CoIr crystal. Source: Alexandria via LeMat-Bulk, functional PBE-GGA.

Properties
**Formation enthalpy at 0 K**: 0.94 eV/atom
**Uncorrected energy**: -21.282 eV/f.u.
**Total magnetization**: 1.56 μB/f.u.
**Fermi-level density of states**: 1.17 states/eV/atom
**Symmetry**: F-43m, No. 216
**Crystal system**: cubic

a b c (Å): 5.639 5.639 5.639
angles (deg): 60.00 60.00 60.00
Fractional coordinates of all 6 atoms:
In: 0.125 0.125 0.125
In: 0.125 0.125 0.625
In: 0.125 0.625 0.125
In: 0.625 0.125 0.125
Co: 0.500 0.500 0.500
Ir: 0.750 0.750 0.750

---

Entry 3:
A relaxed SrBBr2 crystal. Source: Alexandria via LeMat-Bulk, functional PBE-GGA.

Properties
**Uncorrected energy**: -11.854 eV/f.u.
**Total magnetization**: 1.00 μB/f.u.
**Fermi-level density of states**: 0.05 states/eV/atom
**Symmetry**: I-42d, No. 122
**Energy above the most stable polymorph in this dataset**: 86.8 meV/atom
**Crystal system**: tetragonal
**ΔE_f (raw)**: -37 meV/atom

a b c (Å): 5.321 5.321 18.147
angles (deg): 90.00 90.00 90.00
Fractional coordinates of all 16 atoms:
Sr: 0.000 0.000 0.000
Sr: 0.000 0.500 0.250
Sr: 0.500 0.000 0.750
Sr: 0.500 0.500 0.500
B: 0.000 0.000 0.500
B: 0.000 0.500 0.750
B: 0.500 0.000 0.250
B: 0.500 0.500 0.000
Br: 0.224 0.250 0.625
Br: 0.250 0.724 0.875
Br: 0.250 0.776 0.375
Br: 0.276 0.250 0.125
Br: 0.724 0.750 0.125
Br: 0.750 0.224 0.375
Br: 0.750 0.276 0.875
Br: 0.776 0.750 0.625